# ZrCd5

A crystal of ZrCd5 relaxed with PBEsol (meta-GGA SCAN, the Alexandria database).

## Properties
The symmetry is P4/mmm (123). The value obtained for the formation energy is -0.46 eV/f.u. Its size of the total moment is 0.0 μB per cell.

Unit cell a=3.1326 b=3.1326 c=12.4724 alpha=90.00 beta=90.00 gamma=90.00
Fractional positions:
Zr: 0.0000 0.0000 0.0000
Cd: 0.0000 0.0000 0.3346
Cd: 0.0000 0.0000 0.6654
Cd: 0.5000 0.5000 0.1698
Cd: 0.5000 0.5000 0.5000
Cd: 0.5000 0.5000 0.8302